This record from the Alexandria database describes a relaxed structure of SrPbO2. The functional is GGA-PBE.

Its formation energy (no corrections) is -1.906 eV per atom. The calculation puts the energy at -5.7324 eV per atom.

The structure belongs to space group P2_1/c (No. 14); the cell edges are 6.417, 7.446 and 6.444 Å and the angles 90.00°, 107.13° and 90.00°. Symmetry generates all atoms from Sr at (0.250, 0.121, 0.001), Pb at (0.250, 0.630, 0.001), O at (0.024, 0.661, 0.294) and O at (0.477, 0.661, 0.705).

---

This record from the Alexandria database describes a relaxed structure of Tb2NdPuP4. The functional is GGA-PBE.

The calculated formation energy comes out at -1.462 eV per atom. The calculation puts the energy at -7.7115 eV per atom.

The structure belongs to space group P2/m (No. 10); the cell edges are 7.009, 4.062 and 7.018 Å and the angles 90.00°, 109.50° and 90.00°. Symmetry generates all atoms from Tb at (0.000, 0.000, 0.000), Tb at (0.000, 0.500, 0.500), Nd at (0.500, 0.000, 0.500), Pu at (0.500, 0.500, 0.000), P at (0.246, 0.500, 0.242) and P at (0.251, 0.000, 0.757).

---

This record from the Alexandria database describes a relaxed structure of Li4BiAs. The functional is GGA-PBE.

The calculated formation energy comes out at -0.438 eV per atom. The calculation puts the energy at -3.1353 eV per atom.

The structure belongs to space group P4/mmm (No. 123); the cell edges are 4.065, 4.065 and 7.563 Å and the angles 90.00°, 90.00° and 90.00°. Symmetry generates all atoms from Li at (0.000, 0.500, 0.198), Bi at (0.000, 0.000, 0.500) and As at (0.500, 0.500, 0.000).

---

This record from the Alexandria database describes a relaxed structure of Ca4In12Cu. The functional is GGA-PBE.

The calculated formation energy comes out at -0.283 eV per atom. The calculation puts the energy at -2.9278 eV per atom.

The structure belongs to space group Im-3m (No. 229); the cell edges are 9.601, 9.601 and 9.601 Å and the angles 90.00°, 90.00° and 90.00°. Symmetry generates all atoms from Ca at (0.250, 0.250, 0.250), In at (0.000, 0.000, 0.280), In at (0.000, 0.250, 0.500) and Cu at (0.000, 0.000, 0.000).

---

This record from the Alexandria database describes a relaxed structure of SmGaCuHg. The functional is GGA-PBE.

The calculated formation energy comes out at -0.263 eV per atom. The calculation puts the energy at -3.2994 eV per atom.

The structure belongs to space group F-43m (No. 216); the cell edges are 6.872, 6.872 and 6.872 Å and the angles 90.00°, 90.00° and 90.00°. Symmetry generates all atoms from Sm at (0.000, 0.000, 0.000), Ga at (0.250, 0.250, 0.750), Cu at (0.250, 0.250, 0.250) and Hg at (0.000, 0.000, 0.500).

---

This record from the Alexandria database describes a relaxed structure of AsRuBr2Cl. The functional is GGA-PBE.

Its formation energy (no corrections) is 0.288 eV per atom. The calculation puts the energy at -3.5358 eV per atom.

The structure belongs to space group P4/mmm (No. 123); the cell edges are 5.091, 5.091 and 4.743 Å and the angles 90.00°, 90.00° and 90.00°. Symmetry generates all atoms from As at (0.000, 0.000, 0.000), Ru at (0.000, 0.000, 0.500), Br at (0.000, 0.500, 0.500) and Cl at (0.500, 0.500, 0.000).

---

This record from the Alexandria database describes a relaxed structure of Cs2Sr2TaO6. The functional is GGA-PBE.

Its formation energy (no corrections) is -2.315 eV per atom. The calculation puts the energy at -6.5582 eV per atom.

The structure belongs to space group C2/m (No. 12); the cell edges are 6.269, 10.662 and 7.214 Å and the angles 90.00°, 106.04° and 90.00°. Symmetry generates all atoms from Cs at (0.000, 0.167, 0.000), Sr at (0.000, 0.338, 0.500), Ta at (0.000, 0.000, 0.500), O at (0.185, 0.139, 0.659) and O at (0.218, 0.000, 0.337).

---

This record from the Alexandria database describes a relaxed structure of PmNi2Rh. The functional is GGA-PBE.

The calculated formation energy comes out at -0.203 eV per atom. The calculation puts the energy at -6.1189 eV per atom.

The structure belongs to space group P4/mmm (No. 123); the cell edges are 4.033, 4.033 and 3.916 Å and the angles 90.00°, 90.00° and 90.00°. Symmetry generates all atoms from Pm at (0.000, 0.000, 0.000), Ni at (0.000, 0.500, 0.500) and Rh at (0.500, 0.500, 0.000).

---

This record from the Alexandria database describes a relaxed structure of Pm2Er3Ga4. The functional is GGA-PBE.

The calculated formation energy comes out at -0.427 eV per atom. The calculation puts the energy at -4.3491 eV per atom.

The structure belongs to space group Cmce (No. 64); the cell edges are 6.836, 15.853 and 8.516 Å and the angles 90.00°, 90.00° and 90.00°. Symmetry generates all atoms from Pm at (0.000, 0.107, 0.081), Er at (0.000, 0.000, 0.500), Er at (0.250, 0.216, 0.750), Ga at (0.000, 0.185, 0.458) and Ga at (0.250, 0.034, 0.750).

---

This record from the Alexandria database describes a relaxed structure of CsBeCl2. The functional is GGA-PBE.

Its formation energy (no corrections) is -0.805 eV per atom. The calculation puts the energy at -2.8728 eV per atom.

The structure belongs to space group I-42d (No. 122); the cell edges are 6.805, 6.805 and 11.731 Å and the angles 90.00°, 90.00° and 90.00°. Symmetry generates all atoms from Cs at (0.000, 0.000, 0.000), Be at (0.000, 0.000, 0.500) and Cl at (0.086, 0.250, 0.625).

---

This record from the Alexandria database describes a relaxed structure of CsTe6PdRh. The functional is GGA-PBE.

Its formation energy (no corrections) is -0.286 eV per atom. The calculation puts the energy at -3.8690 eV per atom.

The structure belongs to space group Imma (No. 74); the cell edges are 8.851, 10.047 and 13.507 Å and the angles 90.00°, 90.00° and 90.00°. Symmetry generates all atoms from Cs at (0.000, 0.250, 0.142), Te at (0.000, 0.250, 0.419), Te at (0.000, 0.250, 0.862), Te at (0.229, 0.036, 0.633), Pd at (0.000, 0.000, 0.500) and Rh at (0.250, 0.250, 0.750).

---

This record from the Alexandria database describes a relaxed structure of Rb5Np2O12. The functional is GGA-PBE.

Its formation energy (no corrections) is -1.885 eV per atom. The calculation puts the energy at -6.6330 eV per atom.

The structure belongs to space group P-1 (No. 2); the cell edges are 6.534, 8.053 and 8.063 Å and the angles 69.60°, 83.77° and 83.74°. Symmetry generates all atoms from Rb at (0.000, 0.000, 0.000), Rb at (0.019, 0.369, 0.370), Rb at (0.451, 0.759, 0.759), Np at (0.500, 0.251, 0.749), O at (0.290, 0.144, 0.678), O at (0.290, 0.678, 0.144), O at (0.294, 0.389, 0.846), O at (0.294, 0.846, 0.389), O at (0.417, 0.469, 0.469) and O at (0.421, 0.043, 0.043).

---

Computed values of spin magnetization (unit: Bohr magnetons per cell) for the preceding records, in sequence: 0.00; 4.88; 0.00; 0.00; 0.00; 0.00; 2.23; 0.81; 0.00; 0.00; 0.00; 1.08.